Entry A
Material: TaAg3Au
Method: DFT, PBE
State: optimized geometry

extended XYZ file:
```
5
Lattice="5.026 0.000 0.000 0.000 5.026 0.000 0.000 0.000 5.026" Properties=species:S:1:pos:R:3 pbc="T T T"
Ta 0.000 0.000 0.000
Ag 0.000 2.513 2.513
Ag 2.513 0.000 2.513
Ag 2.513 2.513 0.000
Au 2.513 2.513 2.513
```

For the density, the calculation gives 9.18 Mg/m³. The value obtained for the density of states at the Fermi level is 5.055 states/eV per cell. As for the magnetization: 3.0 μB/f.u.

Entry B
Material: TaAg3Au
Method: DFT, PBE
State: optimized geometry

extended XYZ file:
```
5
Lattice="5.139 0.000 0.000 0.000 5.139 0.000 0.000 0.000 5.139" Properties=species:S:1:pos:R:3 pbc="T T T"
Ta 0.000 0.000 0.000
Ag 0.000 0.000 2.570
Ag 0.000 2.570 0.000
Ag 2.570 0.000 0.000
Au 2.570 2.570 2.570
```

For the density, the calculation gives 8.58 Mg/m³. The value obtained for the density of states at the Fermi level is 3.096 states/eV per cell. As for the magnetization: 0.0 μB/f.u.

Energies, relative to the best one, in meV/atom: entry A 0; entry B 154.

Entry A
Material: TaAg2WAu
Method: DFT, PBE
State: optimized geometry

extended XYZ file:
```
5
Lattice="4.922 0.000 0.000 0.000 4.922 0.000 0.000 0.000 4.896" Properties=species:S:1:pos:R:3 pbc="T T T"
Ta 0.000 0.000 0.000
Ag 0.000 2.461 2.448
Ag 2.461 0.000 2.448
W 2.461 2.461 2.448
Au 2.461 2.461 0.000
```

For the density, the calculation gives 10.88 Mg/m³. The value obtained for the density of states at the Fermi level is 5.375 states/eV per cell. As for the magnetization: 0.0 μB/f.u.

Entry B
Material: TaAg2WAu
Method: DFT, PBE
State: optimized geometry

extended XYZ file:
```
5
Lattice="4.844 0.000 0.000 0.000 4.844 0.000 0.000 0.000 4.963" Properties=species:S:1:pos:R:3 pbc="T T T"
Ta 0.000 0.000 0.000
Ag 0.000 2.422 2.482
Ag 2.422 0.000 2.482
W 2.422 2.422 0.000
Au 2.422 2.422 2.482
```

For the density, the calculation gives 11.09 Mg/m³. The value obtained for the density of states at the Fermi level is 5.641 states/eV per cell. As for the magnetization: 0.0 μB/f.u.

Energies, relative to the best one, in meV/atom: entry A 175; entry B 0.

Entry A
Material: TbAgAu
Method: DFT, PBE
State: optimized geometry

extended XYZ file:
```
3
Lattice="0.000 3.357 3.357 3.357 0.000 3.357 3.357 3.357 0.000" Properties=species:S:1:pos:R:3 pbc="T T T"
Tb 0.000 0.000 0.000
Ag 3.357 3.357 3.357
Au 1.679 1.679 1.679
```

For the density, the calculation gives 10.18 Mg/m³. The value obtained for the density of states at the Fermi level is 1.927 states/eV per cell. As for the magnetization: 0.0 μB/f.u.

Entry B
Material: TbAgAu
Method: DFT, PBE
State: optimized geometry

extended XYZ file:
```
6
Lattice="2.340 -4.794 0.000 2.340 4.794 0.000 0.000 0.000 5.902" Properties=species:S:1:pos:R:3 pbc="T T T"
Tb 2.340 2.935 4.426
Tb 2.340 -2.935 1.475
Ag 2.340 0.000 0.000
Ag 2.340 0.000 2.951
Au 2.340 3.655 1.475
Au 2.340 -3.655 4.426
```

For the density, the calculation gives 11.63 Mg/m³. The value obtained for the density of states at the Fermi level is 4.407 states/eV per cell. As for the magnetization: 0.0 μB/f.u.

Entry C
Material: TbAgAu
Method: DFT, PBE
State: optimized geometry

extended XYZ file:
```
3
Lattice="4.733 0.000 0.000 -2.367 4.099 0.000 0.000 0.000 3.445" Properties=species:S:1:pos:R:3 pbc="T T T"
Tb 0.000 0.000 0.000
Ag 2.367 1.366 1.722
Au 0.000 2.733 1.722
```

For the density, the calculation gives 11.52 Mg/m³. The value obtained for the density of states at the Fermi level is 1.710 states/eV per cell. As for the magnetization: 0.0 μB/f.u.

Energies, relative to the best one, in meV/atom: entry A 162; entry B 0; entry C 80.

Entry A
Material: Tb4Ag3Au
Method: DFT, PBE
State: optimized geometry

extended XYZ file:
```
8
Lattice="3.633 0.000 0.000 0.000 3.633 0.000 0.000 0.000 14.628" Properties=species:S:1:pos:R:3 pbc="T T T"
Tb 0.000 0.000 1.776
Tb 0.000 0.000 5.470
Tb 0.000 0.000 9.158
Tb 0.000 0.000 12.852
Ag 1.816 1.816 3.658
Ag 1.816 1.816 7.314
Ag 1.816 1.816 10.970
Au 1.816 1.816 0.000
```

For the density, the calculation gives 9.94 Mg/m³. The value obtained for the density of states at the Fermi level is 5.425 states/eV per cell. As for the magnetization: 0.0 μB/f.u.

Entry B
Material: Tb4Ag3Au
Method: DFT, PBE
State: optimized geometry

extended XYZ file:
```
8
Lattice="3.730 0.000 0.000 0.000 4.818 0.000 0.000 0.000 11.076" Properties=species:S:1:pos:R:3 pbc="T T T"
Tb 0.000 0.000 0.000
Tb 0.000 2.409 3.066
Tb 1.865 0.000 5.452
Tb 1.865 2.409 8.627
Ag 0.000 0.000 7.949
Ag 0.000 2.409 6.154
Ag 1.865 2.409 0.601
Au 1.865 0.000 2.442
```

For the density, the calculation gives 9.65 Mg/m³. The value obtained for the density of states at the Fermi level is 6.683 states/eV per cell. As for the magnetization: 0.0 μB/f.u.

Energies, relative to the best one, in meV/atom: entry A 0; entry B 21.

Entry A
Material: TbAgAu4
Method: DFT, PBE
State: optimized geometry

extended XYZ file:
```
6
Lattice="3.601 0.000 0.000 0.000 3.722 0.000 -0.038 0.000 8.933" Properties=species:S:1:pos:R:3 pbc="T T T"
Tb 0.000 0.000 0.000
Ag 1.782 1.861 4.466
Au -0.006 0.000 3.027
Au 1.764 1.861 7.347
Au 1.799 1.861 1.586
Au 3.569 0.000 5.906
```

For the density, the calculation gives 14.63 Mg/m³. The value obtained for the density of states at the Fermi level is 1.342 states/eV per cell. As for the magnetization: 0.0 μB/f.u.

Entry B
Material: TbAgAu4
Method: DFT, PBE
State: optimized geometry

extended XYZ file:
```
6
Lattice="0.000 3.919 3.919 3.919 0.000 3.919 3.919 3.919 0.000" Properties=species:S:1:pos:R:3 pbc="T T T"
Tb 0.000 0.000 0.000
Ag 5.879 5.879 5.879
Au 2.942 2.942 2.942
Au 4.896 4.896 2.942
Au 4.896 2.942 4.896
Au 2.942 4.896 4.896
```

For the density, the calculation gives 14.55 Mg/m³. The value obtained for the density of states at the Fermi level is 5.694 states/eV per cell. As for the magnetization: 0.0 μB/f.u.

Energies, relative to the best one, in meV/atom: entry A 0; entry B 13.

Entry A
Material: TbAg2Au2
Method: DFT, PBE
State: optimized geometry

extended XYZ file:
```
5
Lattice="2.590 -3.758 0.000 2.590 3.758 0.000 -0.012 0.000 5.607" Properties=species:S:1:pos:R:3 pbc="T T T"
Tb 0.000 0.000 0.000
Ag 2.584 2.418 2.804
Ag 2.584 -2.418 2.804
Au 2.578 0.000 4.217
Au 2.590 0.000 1.390
```

For the density, the calculation gives 11.69 Mg/m³. The value obtained for the density of states at the Fermi level is 2.792 states/eV per cell. As for the magnetization: 0.0 μB/f.u.

Entry B
Material: TbAg2Au2
Method: DFT, PBE
State: optimized geometry

extended XYZ file:
```
10
Lattice="5.145 -2.620 0.000 5.145 2.620 0.000 -3.006 0.000 7.380" Properties=species:S:1:pos:R:3 pbc="T T T"
Tb 2.891 1.719 5.535
Tb 4.393 -1.719 1.845
Ag 3.870 0.880 0.345
Ag 4.917 0.880 3.345
Ag 2.367 -0.880 4.035
Ag 3.414 -0.880 7.035
Au 0.005 0.972 4.772
Au 1.508 -0.972 1.083
Au 5.776 0.972 6.297
Au 7.279 -0.972 2.607
```

For the density, the calculation gives 12.83 Mg/m³. The value obtained for the density of states at the Fermi level is 3.653 states/eV per cell. As for the magnetization: 0.0 μB/f.u.

Energies, relative to the best one, in meV/atom: entry A 164; entry B 0.